DFT (PBE) results for crystalline K2ZrNi at its relaxed geometry.

a = 3.4753 Å, b = 3.4594 Å, c = 11.0659 Å
α = 90.00°, β = 91.23°, γ = 90.00°
Space group Pm (No. 6)
Symmetry-distinct sites (fractional):
K (0.0000, 0.0000, 0.0000)
K (0.4597, 0.5000, 0.3919)
Zr (0.4813, 0.5000, 0.7093)
Ni (0.9752, 0.0000, 0.6209)

Output
Its energy is -3.820 eV/atom.